Record 1
Pr2TmMg4 | GGA-PBE | relaxed

Output
Space group ... I4/mmm (139)
ΔE_f ... 0.119 eV/atom

Cell and atoms, written as CIF:
```
data_Pr2TmMg4
_chemical_formula_sum 'Pr2 Tm1 Mg4'
_cell_length_a 5.471
_cell_length_b 5.471
_cell_length_c 8.268
_cell_angle_alpha 109.32
_cell_angle_beta 109.32
_cell_angle_gamma 90.00
_space_group_name_H-M_alt 'P 1'
_space_group_IT_number 1
loop_
_space_group_symop_operation_xyz
'x,y,z'
loop_
_atom_site_label
_atom_site_type_symbol
_atom_site_fract_x
_atom_site_fract_y
_atom_site_fract_z
Mg1 Mg 0.388 0.888 0.777
Pr1 Pr 0.747 0.747 0.494
Tm1 Tm 0.000 0.000 0.000
Mg2 Mg 0.888 0.388 0.777
Mg3 Mg 0.112 0.612 0.223
Mg4 Mg 0.612 0.112 0.223
Pr2 Pr 0.253 0.253 0.506
```

---

Record 2
EuTlCdAu | GGA-PBE | relaxed

Output
Space group ... F-43m (216)
ΔE_f ... -0.388 eV/atom

Cell and atoms, written as CIF:
```
data_EuTlCdAu
_chemical_formula_sum 'Eu1 Tl1 Cd1 Au1'
_cell_length_a 5.200
_cell_length_b 5.200
_cell_length_c 5.200
_cell_angle_alpha 60.00
_cell_angle_beta 60.00
_cell_angle_gamma 60.00
_space_group_name_H-M_alt 'P 1'
_space_group_IT_number 1
loop_
_space_group_symop_operation_xyz
'x,y,z'
loop_
_atom_site_label
_atom_site_type_symbol
_atom_site_fract_x
_atom_site_fract_y
_atom_site_fract_z
Cd1 Cd 0.750 0.750 0.750
Eu1 Eu 0.250 0.250 0.250
Tl1 Tl 0.500 0.500 0.500
Au1 Au 0.000 0.000 0.000
```

---

Record 3
Ba2Ag4Bi5 | GGA-PBE | relaxed

Output
Space group ... C2/m (12)
ΔE_f ... -0.269 eV/atom

Cell and atoms, written as CIF:
```
data_Ba2Ag4Bi5
_chemical_formula_sum 'Ba2 Ag4 Bi5'
_cell_length_a 7.025
_cell_length_b 7.827
_cell_length_c 7.824
_cell_angle_alpha 81.77
_cell_angle_beta 63.32
_cell_angle_gamma 63.33
_space_group_name_H-M_alt 'P 1'
_space_group_IT_number 1
loop_
_space_group_symop_operation_xyz
'x,y,z'
loop_
_atom_site_label
_atom_site_type_symbol
_atom_site_fract_x
_atom_site_fract_y
_atom_site_fract_z
Bi1 Bi 0.751 0.778 0.222
Ba1 Ba 0.266 0.734 0.734
Ag1 Ag 0.736 0.616 0.912
Bi2 Bi 0.000 0.500 0.500
Bi3 Bi 0.249 0.222 0.778
Bi4 Bi 0.750 0.222 0.778
Ag2 Ag 0.264 0.384 0.088
Ag3 Ag 0.264 0.089 0.383
Bi5 Bi 0.250 0.778 0.222
Ag4 Ag 0.736 0.911 0.617
Ba2 Ba 0.734 0.266 0.266
```

---

Record 4
Ca4HF2 | GGA-PBE | relaxed

Output
Space group ... I4/mmm (139)

Cell and atoms, written as CIF:
```
data_Ca4HF2
_chemical_formula_sum 'Ca4 H1 F2'
_cell_length_a 4.454
_cell_length_b 4.454
_cell_length_c 10.257
_cell_angle_alpha 77.46
_cell_angle_beta 77.46
_cell_angle_gamma 90.00
_space_group_name_H-M_alt 'P 1'
_space_group_IT_number 1
loop_
_space_group_symop_operation_xyz
'x,y,z'
loop_
_atom_site_label
_atom_site_type_symbol
_atom_site_fract_x
_atom_site_fract_y
_atom_site_fract_z
F1 F 0.718 0.718 0.563
Ca1 Ca 0.500 0.000 0.000
Ca2 Ca 0.000 0.500 0.000
H1 H 0.000 0.000 0.000
Ca3 Ca 0.826 0.826 0.348
F2 F 0.282 0.282 0.437
Ca4 Ca 0.174 0.174 0.652
```

---

Record 5
Sm5ThS6 | GGA-PBE | relaxed

Output
Space group ... C2/m (12)
E_form (uncorrected) ... -1987 meV/atom

Cell and atoms, written as CIF:
```
data_Sm5ThS6
_chemical_formula_sum 'Sm5 Th1 S6'
_cell_length_a 6.966
_cell_length_b 6.937
_cell_length_c 6.955
_cell_angle_alpha 60.09
_cell_angle_beta 80.38
_cell_angle_gamma 70.41
_space_group_name_H-M_alt 'P 1'
_space_group_IT_number 1
loop_
_space_group_symop_operation_xyz
'x,y,z'
loop_
_atom_site_label
_atom_site_type_symbol
_atom_site_fract_x
_atom_site_fract_y
_atom_site_fract_z
S1 S 0.252 0.250 0.000
S2 S 0.750 0.084 0.334
S3 S 0.748 0.750 0.000
Sm1 Sm 0.500 0.831 0.337
Sm2 Sm 0.500 0.500 0.000
Sm3 Sm 0.500 0.169 0.663
Th1 Th 0.000 0.000 0.000
S4 S 0.250 0.583 0.334
Sm4 Sm 0.000 0.333 0.334
S5 S 0.750 0.417 0.666
Sm5 Sm 0.000 0.667 0.666
S6 S 0.250 0.916 0.666
```

---

Record 6
Tb2Pm3Y7 | GGA-PBE | relaxed

Output
Space group ... P2/m (10)
Polymorph energy (0 for the lowest one) ... 1.78 eV per formula unit
ΔE_f ... 0.233 eV/atom

Cell and atoms, written as CIF:
```
data_Tb2Pm3Y7
_chemical_formula_sum 'Tb2 Pm3 Y7'
_cell_length_a 3.647
_cell_length_b 5.625
_cell_length_c 20.660
_cell_angle_alpha 90.00
_cell_angle_beta 95.06
_cell_angle_gamma 90.00
_space_group_name_H-M_alt 'P 1'
_space_group_IT_number 1
loop_
_space_group_symop_operation_xyz
'x,y,z'
loop_
_atom_site_label
_atom_site_type_symbol
_atom_site_fract_x
_atom_site_fract_y
_atom_site_fract_z
Y1 Y 0.285 0.500 0.570
Y2 Y 0.415 0.000 0.830
Pm1 Pm 0.831 0.000 0.662
Pm2 Pm 0.169 0.000 0.338
Y3 Y 0.585 0.000 0.170
Y4 Y 0.933 0.500 0.866
Tb1 Tb 0.637 0.500 0.274
Pm3 Pm 0.500 0.500 0.000
Y5 Y 0.000 0.000 0.000
Y6 Y 0.067 0.500 0.134
Tb2 Tb 0.363 0.500 0.726
Y7 Y 0.715 0.500 0.430
```

---

Record 7
CdSbBr2 | GGA-PBE | relaxed

Output
Space group ... Pm (6)
E_form (uncorrected) ... -342 meV/atom
Polymorph energy (0 for the lowest one) ... 0.00 eV per formula unit

Cell and atoms, written as CIF:
```
data_CdSbBr2
_chemical_formula_sum 'Cd1 Sb1 Br2'
_cell_length_a 3.667
_cell_length_b 5.720
_cell_length_c 7.683
_cell_angle_alpha 51.56
_cell_angle_beta 90.00
_cell_angle_gamma 90.00
_space_group_name_H-M_alt 'P 1'
_space_group_IT_number 1
loop_
_space_group_symop_operation_xyz
'x,y,z'
loop_
_atom_site_label
_atom_site_type_symbol
_atom_site_fract_x
_atom_site_fract_y
_atom_site_fract_z
Br1 Br 0.500 0.233 0.385
Br2 Br 0.000 0.021 0.979
Sb1 Sb 0.500 0.629 0.715
Cd1 Cd 0.000 0.616 0.420
```

---

Record 8
Ac3Nd8Er | GGA-PBE | relaxed

Output
Space group ... C2 (5)
ΔE_f ... 0.124 eV/atom

Cell and atoms, written as CIF:
```
data_Ac3Nd8Er
_chemical_formula_sum 'Ac3 Nd8 Er1'
_cell_length_a 9.269
_cell_length_b 9.273
_cell_length_c 9.269
_cell_angle_alpha 75.90
_cell_angle_beta 120.04
_cell_angle_gamma 137.97
_space_group_name_H-M_alt 'P 1'
_space_group_IT_number 1
loop_
_space_group_symop_operation_xyz
'x,y,z'
loop_
_atom_site_label
_atom_site_type_symbol
_atom_site_fract_x
_atom_site_fract_y
_atom_site_fract_z
Nd1 Nd 0.335 0.393 0.686
Nd2 Nd 0.981 0.826 0.657
Nd3 Nd 0.294 0.607 0.942
Ac1 Ac 0.539 0.136 0.670
Ac2 Ac 0.533 0.864 0.402
Nd4 Nd 0.886 0.805 0.231
Ac3 Ac 0.980 0.500 0.480
Nd5 Nd 0.940 0.615 0.000
Nd6 Nd 0.830 0.174 0.155
Nd7 Nd 0.426 0.195 0.082
Nd8 Nd 0.385 0.385 0.325
Er1 Er 0.872 0.000 0.872
```

---

Record 9
Lu4Te2C | GGA-PBE | relaxed

Output
Space group ... I4/mmm (139)
E_form (uncorrected) ... -659 meV/atom

Cell and atoms, written as CIF:
```
data_Lu4Te2C
_chemical_formula_sum 'Lu4 Te2 C1'
_cell_length_a 4.629
_cell_length_b 4.629
_cell_length_c 8.407
_cell_angle_alpha 74.02
_cell_angle_beta 74.02
_cell_angle_gamma 90.00
_space_group_name_H-M_alt 'P 1'
_space_group_IT_number 1
loop_
_space_group_symop_operation_xyz
'x,y,z'
loop_
_atom_site_label
_atom_site_type_symbol
_atom_site_fract_x
_atom_site_fract_y
_atom_site_fract_z
Lu1 Lu 0.500 0.000 0.000
Te1 Te 0.356 0.356 0.287
Lu2 Lu 0.842 0.842 0.316
Lu3 Lu 0.158 0.158 0.684
C1 C 0.000 0.000 0.000
Te2 Te 0.644 0.644 0.713
Lu4 Lu 0.000 0.500 0.000
```

---

Record 10
K2TeRu | GGA-PBE | relaxed

Output
Space group ... I4/mmm (139)
E_form (uncorrected) ... 428 meV/atom

Cell and atoms, written as CIF:
```
data_K2TeRu
_chemical_formula_sum 'K2 Te1 Ru1'
_cell_length_a 6.229
_cell_length_b 6.229
_cell_length_c 6.229
_cell_angle_alpha 138.86
_cell_angle_beta 138.86
_cell_angle_gamma 59.59
_space_group_name_H-M_alt 'P 1'
_space_group_IT_number 1
loop_
_space_group_symop_operation_xyz
'x,y,z'
loop_
_atom_site_label
_atom_site_type_symbol
_atom_site_fract_x
_atom_site_fract_y
_atom_site_fract_z
Ru1 Ru 0.250 0.750 0.500
Te1 Te 0.750 0.250 0.500
K1 K 0.500 0.500 0.000
K2 K 0.000 0.000 0.000
```

---

Record 11
NaInH2 | GGA-PBE | relaxed

Output
Space group ... Fm-3m (225)
Polymorph energy (0 for the lowest one) ... 1.02 eV per formula unit

Cell and atoms, written as CIF:
```
data_NaInH2
_chemical_formula_sum 'Na1 In1 H2'
_cell_length_a 4.387
_cell_length_b 4.387
_cell_length_c 4.387
_cell_angle_alpha 60.00
_cell_angle_beta 60.00
_cell_angle_gamma 60.00
_space_group_name_H-M_alt 'P 1'
_space_group_IT_number 1
loop_
_space_group_symop_operation_xyz
'x,y,z'
loop_
_atom_site_label
_atom_site_type_symbol
_atom_site_fract_x
_atom_site_fract_y
_atom_site_fract_z
H1 H 0.750 0.750 0.750
H2 H 0.250 0.250 0.250
Na1 Na 0.000 0.000 0.000
In1 In 0.500 0.500 0.500
```

---

Record 12
LaCe4Y | GGA-PBE | relaxed

Output
Space group ... F-43m (216)
ΔE_f ... 0.189 eV/atom

Cell and atoms, written as CIF:
```
data_LaCe4Y
_chemical_formula_sum 'La1 Ce4 Y1'
_cell_length_a 6.370
_cell_length_b 6.370
_cell_length_c 6.370
_cell_angle_alpha 60.00
_cell_angle_beta 60.00
_cell_angle_gamma 60.00
_space_group_name_H-M_alt 'P 1'
_space_group_IT_number 1
loop_
_space_group_symop_operation_xyz
'x,y,z'
loop_
_atom_site_label
_atom_site_type_symbol
_atom_site_fract_x
_atom_site_fract_y
_atom_site_fract_z
Ce1 Ce 0.630 0.630 0.630
Ce2 Ce 0.110 0.630 0.630
La1 La 0.250 0.250 0.250
Y1 Y 0.000 0.000 0.000
Ce3 Ce 0.630 0.110 0.630
Ce4 Ce 0.630 0.630 0.110
```

---

Number 1: E -2.796 eV per atom. Number 2: E -4.597 eV per atom. Number 3: E -3.419 eV per atom. Number 4: E -3.421 eV per atom. Number 5: E -6.635 eV per atom. Number 6: E -5.497 eV per atom. Number 7: E -2.437 eV per atom. Number 8: E -4.462 eV per atom. Number 9: E -5.458 eV per atom. Number 10: E -3.225 eV per atom. Number 11: E -2.389 eV per atom. Number 12: E -5.665 eV per atom.